Entry from the Alexandria database: Y2SiSe at its PBEsol-relaxed geometry (SCAN).

Final energy = -91.749 eV per cell
Formation energy without anion corrections = -5.97 eV/f.u.
Excess energy over the best structure of this formula in the dataset = 0.0000 eV/atom

Cell lengths 4.052, 4.052, 5.713 Å; angles 90.00, 90.00, 90.00 degrees
Space group P4/mmm (No. 123)
Unique sites:
Y (0.000, 0.000, 0.000) (multiplicity 1)
Y (0.500, 0.500, 0.500) (multiplicity 1)
Si (0.000, 0.000, 0.500) (multiplicity 1)
Se (0.500, 0.500, 0.000) (multiplicity 1)